1.
# SCAN Ta3B2Ru5, PBEsol geometry
data_Ta3B2Ru5
_symmetry_space_group_name_H-M 'P 4/m b m'
_symmetry_Int_Tables_number 127
_symmetry_space_group_name_Hall '-P 4 2ab'
_cell_length_a 9.3507
_cell_length_b 9.3507
_cell_length_c 2.9811
_cell_angle_alpha 90.00
_cell_angle_beta 90.00
_cell_angle_gamma 90.00
loop_
_atom_site_label
_atom_site_fract_x
_atom_site_fract_y
_atom_site_fract_z
_atom_site_occupancy
Ta1 0.0000 0.0000 0.0000 1
Ta2 0.1763 0.3237 0.0000 1
B1 0.1213 0.6213 0.0000 1
Ru1 0.0000 0.5000 0.5000 1
Ru2 0.0709 0.7816 0.5000 1
# Uncorrected energy   -789.937 eV per cell

2.
# SCAN TaBRu, PBEsol geometry
data_TaBRu
_symmetry_space_group_name_H-M 'P m m a'
_symmetry_Int_Tables_number 51
_cell_length_a 10.7763
_cell_length_b 3.1680
_cell_length_c 6.2959
_cell_angle_alpha 90.00
_cell_angle_beta 90.00
_cell_angle_gamma 90.00
loop_
_symmetry_equiv_pos_as_xyz
'x,y,z'
'-x,-y,-z'
'-x+1/2,-y,z'
'x+1/2,y,-z'
'x+1/2,-y,-z'
'-x+1/2,y,z'
'-x,y,-z'
'x,-y,z'
loop_
_atom_site_label
_atom_site_fract_x
_atom_site_fract_y
_atom_site_fract_z
_atom_site_occupancy
Ta1 0.0440 0.0000 0.2230 1
Ta2 0.2500 0.0000 0.8557 1
B1 0.0847 0.5000 0.9495 1
B2 0.2500 0.0000 0.4498 1
Ru1 0.1248 0.5000 0.5732 1
Ru2 0.2500 0.5000 0.2018 1
# Uncorrected energy   -664.873 eV per cell

3.
# SCAN TbB4Ru4, PBEsol geometry
data_TbB4Ru4
_symmetry_space_group_name_H-M 'I 41/a c d'
_symmetry_Int_Tables_number 142
_cell_length_a 7.4105
_cell_length_b 7.4105
_cell_length_c 14.9033
_cell_angle_alpha 90.00
_cell_angle_beta 90.00
_cell_angle_gamma 90.00
loop_
_symmetry_equiv_pos_as_xyz
'x,y,z'
'-x,-y,-z'
'-y+1/4,x+3/4,z+1/4'
'y+1/4,-x+3/4,-z+1/4'
'-x+1/2,-y,z+1/2'
'x+1/2,y,-z+1/2'
'y+1/4,-x+1/4,z+3/4'
'-y+1/4,x+1/4,-z+3/4'
'x,-y,-z+1/2'
'-x,y,z+1/2'
'-y+1/4,-x+1/4,-z+1/4'
'y+1/4,x+1/4,z+1/4'
'-x+1/2,y,-z'
'x+1/2,-y,z'
'y+1/4,x+3/4,-z+3/4'
'-y+1/4,-x+3/4,z+3/4'
'x+1/2,y+1/2,z+1/2'
'-x+1/2,-y+1/2,-z+1/2'
'-y+3/4,x+1/4,z+3/4'
'y+3/4,-x+1/4,-z+3/4'
'-x,-y+1/2,z'
'x,y+1/2,-z'
'y+3/4,-x+3/4,z+1/4'
'-y+3/4,x+3/4,-z+1/4'
'x+1/2,-y+1/2,-z'
'-x+1/2,y+1/2,z'
'-y+3/4,-x+3/4,-z+3/4'
'y+3/4,x+3/4,z+3/4'
'-x,y+1/2,-z+1/2'
'x,-y+1/2,z+1/2'
'y+3/4,x+1/4,-z+1/4'
'-y+3/4,-x+1/4,z+1/4'
loop_
_atom_site_label
_atom_site_fract_x
_atom_site_fract_y
_atom_site_fract_z
_atom_site_occupancy
Tb1 0.0000 0.2500 0.1250 1
B1 0.1418 0.0825 0.2935 1
Ru1 0.1159 0.1028 0.4368 1
# Uncorrected energy   -1766.376 eV per cell

4.
# SCAN BTe2Ru, PBEsol geometry
data_BTe2Ru
_symmetry_space_group_name_H-M 'R -3 m'
_symmetry_Int_Tables_number 166
_symmetry_space_group_name_Hall '-R 3 2"'
_cell_length_a 3.3036
_cell_length_b 3.3036
_cell_length_c 23.6831
_cell_angle_alpha 90.00
_cell_angle_beta 90.00
_cell_angle_gamma 120.00
loop_
_atom_site_label
_atom_site_fract_x
_atom_site_fract_y
_atom_site_fract_z
_atom_site_occupancy
B1 0.0000 0.0000 0.0000 1
Te1 0.0000 0.0000 0.3955 1
Ru1 0.0000 0.0000 0.5000 1
# Formation energy without anion corrections   24.29 kcal/mol of atoms
# Uncorrected energy   -337.635 eV per cell

5.
# SCAN BTe2Ru, PBEsol geometry
data_BTe2Ru
_symmetry_space_group_name_H-M 'I -4 2 d'
_symmetry_Int_Tables_number 122
_symmetry_space_group_name_Hall 'I -4 2bw'
_cell_length_a 5.6484
_cell_length_b 5.6484
_cell_length_c 10.5144
_cell_angle_alpha 90.00
_cell_angle_beta 90.00
_cell_angle_gamma 90.00
loop_
_atom_site_label
_atom_site_fract_x
_atom_site_fract_y
_atom_site_fract_z
_atom_site_occupancy
B1 0.0000 0.0000 0.0000 1
Te1 0.2149 0.2500 0.1250 1
Ru1 0.0000 0.0000 0.5000 1
# Formation energy without anion corrections   10.02 kcal/mol of atoms
# Uncorrected energy   -460.083 eV per cell

6.
# SCAN TmB2Ru3, PBEsol geometry
data_TmB2Ru3
_symmetry_space_group_name_H-M 'P 6/m m m'
_symmetry_Int_Tables_number 191
_symmetry_space_group_name_Hall '-P 6 2'
_cell_length_a 5.4252
_cell_length_b 5.4252
_cell_length_c 2.9855
_cell_angle_alpha 90.00
_cell_angle_beta 90.00
_cell_angle_gamma 120.00
loop_
_atom_site_label
_atom_site_fract_x
_atom_site_fract_y
_atom_site_fract_z
_atom_site_occupancy
Tm1 0.0000 0.0000 0.0000 1
B1 0.3333 0.6667 0.0000 1
Ru1 0.0000 0.5000 0.5000 1
# Uncorrected energy   -174.531 eV per cell

7.
# SCAN Tm2B6Ru, PBEsol geometry
data_Tm2B6Ru
_symmetry_space_group_name_H-M 'P b a m'
_symmetry_Int_Tables_number 55
_cell_length_a 9.0070
_cell_length_b 11.3597
_cell_length_c 3.5704
_cell_angle_alpha 90.00
_cell_angle_beta 90.00
_cell_angle_gamma 90.00
loop_
_symmetry_equiv_pos_as_xyz
'x,y,z'
'-x,-y,-z'
'-x,-y,z'
'x,y,-z'
'x+1/2,-y+1/2,-z'
'-x+1/2,y+1/2,z'
'-x+1/2,y+1/2,-z'
'x+1/2,-y+1/2,z'
loop_
_atom_site_label
_atom_site_fract_x
_atom_site_fract_y
_atom_site_fract_z
_atom_site_occupancy
Tm1 0.0566 0.1277 0.0000 1
Tm2 0.1785 0.4141 0.0000 1
B1 0.0179 0.2874 0.5000 1
B2 0.0536 0.5665 0.5000 1
B3 0.1064 0.9707 0.5000 1
B4 0.1309 0.8154 0.5000 1
B5 0.2087 0.2343 0.5000 1
B6 0.2487 0.5798 0.5000 1
Ru1 0.1378 0.6791 0.0000 1
# Uncorrected energy   -761.574 eV per cell

8.
# SCAN TmB4Ru4, PBEsol geometry
data_TmB4Ru4
_symmetry_space_group_name_H-M 'I 41/a c d'
_symmetry_Int_Tables_number 142
_cell_length_a 7.3803
_cell_length_b 7.3803
_cell_length_c 14.8691
_cell_angle_alpha 90.00
_cell_angle_beta 90.00
_cell_angle_gamma 90.00
loop_
_symmetry_equiv_pos_as_xyz
'x,y,z'
'-x,-y,-z'
'-y+1/4,x+3/4,z+1/4'
'y+1/4,-x+3/4,-z+1/4'
'-x+1/2,-y,z+1/2'
'x+1/2,y,-z+1/2'
'y+1/4,-x+1/4,z+3/4'
'-y+1/4,x+1/4,-z+3/4'
'x,-y,-z+1/2'
'-x,y,z+1/2'
'-y+1/4,-x+1/4,-z+1/4'
'y+1/4,x+1/4,z+1/4'
'-x+1/2,y,-z'
'x+1/2,-y,z'
'y+1/4,x+3/4,-z+3/4'
'-y+1/4,-x+3/4,z+3/4'
'x+1/2,y+1/2,z+1/2'
'-x+1/2,-y+1/2,-z+1/2'
'-y+3/4,x+1/4,z+3/4'
'y+3/4,-x+1/4,-z+3/4'
'-x,-y+1/2,z'
'x,y+1/2,-z'
'y+3/4,-x+3/4,z+1/4'
'-y+3/4,x+3/4,-z+1/4'
'x+1/2,-y+1/2,-z'
'-x+1/2,y+1/2,z'
'-y+3/4,-x+3/4,-z+3/4'
'y+3/4,x+3/4,z+3/4'
'-x,y+1/2,-z+1/2'
'x,-y+1/2,z+1/2'
'y+3/4,x+1/4,-z+1/4'
'-y+3/4,-x+1/4,z+1/4'
loop_
_atom_site_label
_atom_site_fract_x
_atom_site_fract_y
_atom_site_fract_z
_atom_site_occupancy
Tm1 0.0000 0.2500 0.1250 1
B1 0.1403 0.0821 0.2936 1
Ru1 0.1157 0.1012 0.4368 1
# Uncorrected energy   -1807.570 eV per cell